Record 1
Entry from Alexandria: an optimized crystal structure of LaCeScCd (PBE-GGA).

Values from the calculation:
As for the crystal system: cubic. The volume comes out at 465 Å³ per cell. For the total moment, the calculation gives 5.7 μB/cell. As for the total energy: -4.512 eV/atom. The calculation puts the calculated formation energy at 0.015 eV per atom.

Cell: 7.7492 7.7492 7.7492 Å, 90.00 90.00 90.00°
With the nearest neighbours (Å) after each atom.
Space group F-43m (No. 216)
Inequivalent atoms, fractional coordinates:
1 La 0.0000 0.0000 0.0000  4 Cd 3.36, 4 Sc 3.36
2 Ce 0.0000 0.0000 0.5000  4 Cd 3.36, 4 Sc 3.36
3 Sc 0.2500 0.2500 0.7500  4 La 3.36, 4 Ce 3.36
4 Cd 0.2500 0.2500 0.2500  4 La 3.36, 4 Ce 3.36

Record 2
Entry from Alexandria: an optimized crystal structure of LaCeCdSi (PBE-GGA).

Values from the calculation:
As for the crystal system: cubic. The volume comes out at 422 Å³ per cell. The uncorrected formation energy is -0.327 eV per atom. For the total moment, the calculation gives 3.7 μB/cell. As for the total energy: -4.626 eV/atom.

Cell: 7.5011 7.5011 7.5011 Å, 90.00 90.00 90.00°
With the nearest neighbours (Å) after each atom.
Space group F-43m (No. 216)
Inequivalent atoms, fractional coordinates:
1 La 0.0000 0.0000 0.0000  4 Cd 3.25, 4 Si 3.25
2 Ce 0.0000 0.0000 0.5000  4 Cd 3.25, 4 Si 3.25
3 Cd 0.2500 0.2500 0.2500  4 La 3.25, 4 Ce 3.25
4 Si 0.2500 0.2500 0.7500  4 La 3.25, 4 Ce 3.25

Record 3
Entry from Alexandria: an optimized crystal structure of LaCe2Cd2Sn2 (PBE-GGA).

Values from the calculation:
As for the crystal system: trigonal. The volume comes out at 576 Å³ per cell. For the total moment, the calculation gives 8.8 μB/cell. As for the total energy: -4.133 eV/atom. The calculation puts the calculated formation energy at -0.328 eV per atom.

Cell: 4.8091 4.8091 28.7771 Å, 90.00 90.00 120.00°
With the nearest neighbours (Å) after each atom.
Space group R-3m (No. 166, hexagonal axes)
Inequivalent atoms, fractional coordinates:
1 La 0.0000 0.0000 0.0000  6 Sn 3.35
2 Ce 0.0000 0.0000 0.1472  3 Ce 2.99, 3 Cd 3.22
3 Cd 0.0000 0.0000 0.4238  3 Sn 2.87
4 Sn 0.0000 0.0000 0.2680  3 Cd 2.87

Record 4
Entry from Alexandria: an optimized crystal structure of LaTbCeCd (PBE-GGA).

Values from the calculation:
As for the crystal system: cubic. The volume comes out at 488 Å³ per cell. For the total moment, the calculation gives 6.8 μB/cell. As for the total energy: -4.077 eV/atom. The calculation puts the calculated formation energy at 0.025 eV per atom. The calculation puts the relative energy among the computed polymorphs at 0 meV/atom.

Cell: 7.8755 7.8755 7.8755 Å, 90.00 90.00 90.00°
With the nearest neighbours (Å) after each atom.
Space group F-43m (No. 216)
Inequivalent atoms, fractional coordinates:
1 La 0.0000 0.0000 0.0000  4 Cd 3.41, 4 Tb 3.41
2 Tb 0.2500 0.2500 0.7500  4 La 3.41, 4 Ce 3.41
3 Ce 0.0000 0.0000 0.5000  4 Tb 3.41, 4 Cd 3.41
4 Cd 0.2500 0.2500 0.2500  4 La 3.41, 4 Ce 3.41

Record 5
Entry from Alexandria: an optimized crystal structure of LaCeThCd (PBE-GGA).

Values from the calculation:
As for the crystal system: cubic. The volume comes out at 468 Å³ per cell. For the total moment, the calculation gives 2.9 μB/cell. As for the total energy: -4.720 eV/atom. The calculation puts the calculated formation energy at 0.079 eV per atom.

Cell: 7.7632 7.7632 7.7632 Å, 90.00 90.00 90.00°
With the nearest neighbours (Å) after each atom.
Space group F-43m (No. 216)
Inequivalent atoms, fractional coordinates:
1 La 0.0000 0.0000 0.0000  4 Ce 3.36, 4 Cd 3.36
2 Ce 0.2500 0.2500 0.2500  4 La 3.36, 4 Th 3.36
3 Th 0.0000 0.0000 0.5000  4 Cd 3.36, 4 Ce 3.36
4 Cd 0.2500 0.2500 0.7500  4 La 3.36, 4 Th 3.36

Record 6
Entry from Alexandria: an optimized crystal structure of LaCeYCd (PBE-GGA).

Values from the calculation:
As for the crystal system: cubic. The volume comes out at 470 Å³ per cell. For the total moment, the calculation gives 12.6 μB/cell. As for the total energy: -4.518 eV/atom. The calculation puts the calculated formation energy at 0.042 eV per atom.

Cell: 7.7774 7.7774 7.7774 Å, 90.00 90.00 90.00°
With the nearest neighbours (Å) after each atom.
Space group F-43m (No. 216)
Inequivalent atoms, fractional coordinates:
1 La 0.0000 0.0000 0.0000  4 Cd 3.37, 4 Ce 3.37
2 Ce 0.2500 0.2500 0.2500  4 La 3.37, 4 Y 3.37
3 Y 0.0000 0.0000 0.5000  4 Cd 3.37, 4 Ce 3.37
4 Cd 0.2500 0.2500 0.7500  4 La 3.37, 4 Y 3.37

Record 7
Entry from Alexandria: an optimized crystal structure of LiCeCd5 (PBE-GGA).

Values from the calculation:
As for the crystal system: orthorhombic. The volume comes out at 360 Å³ per cell. For the total moment, the calculation gives 2.2 μB/cell. As for the total energy: -1.824 eV/atom. The calculation puts the calculated formation energy at -0.049 eV per atom.

Cell: 5.8964 8.9074 6.8467 Å, 90.00 90.00 90.00°
With the nearest neighbours (Å) after each atom.
Space group Cmmm (No. 65)
Inequivalent atoms, fractional coordinates:
1 Li 0.0000 0.0000 0.0000  10 Cd 2.95-3.11
2 Ce 0.0000 0.5000 0.5000  10 Cd 3.23-3.42
3 Cd 0.0000 0.5000 0.0000  2 Li 2.95, 8 Cd 3.11
4 Cd 0.2500 0.2500 0.2333  5 Cd 2.95-3.20, 2 Li 3.11, 2 Ce 3.23

Record 8
Entry from Alexandria: an optimized crystal structure of LiCeCd3 (PBE-GGA).

Values from the calculation:
As for the crystal system: orthorhombic. The volume comes out at 478 Å³ per cell. For the total moment, the calculation gives 5.6 μB/cell. As for the total energy: -2.218 eV/atom. The calculation puts the calculated formation energy at -0.099 eV per atom.

Cell: 4.1778 4.7036 24.3426 Å, 90.00 90.00 90.00°
With the nearest neighbours (Å) after each atom.
Space group Imma (No. 74)
Inequivalent atoms, fractional coordinates:
1 Li 0.0000 0.2500 0.1398  5 Cd 2.62-2.78
2 Ce 0.0000 0.2500 0.5874  4 Li 3.39, 10 Cd 3.42-3.70
3 Cd 0.0000 0.2500 0.0322  1 Li 2.62, 2 Cd 2.83
4 Cd 0.0000 0.2500 0.2952  2 Li 2.62
5 Cd 0.0000 0.2500 0.7992  2 Li 2.78

These records have N(E_F) values of 2.46; 2.15; 1.77; 2.32; 2.30; 2.25; 1.41; 1.91 states/eV/atom, in the order they appear.